(1)
The following is a PBE calculation of crystalline LaH2I at its relaxed geometry, from Alexandria via LeMat-Bulk.

Summary:
- SG = No. 59
- raw total energy (eV/atom) = -4.22
- mass density (kg/m³) = 5951
- relative energy among the computed polymorphs (meV/atom) = 0

a b c (Å): 4.061 6.362 5.785
angles (deg): 90.00 90.00 90.00
Fractional coordinates of all 8 atoms:
La 0.250 0.250 0.127
La 0.750 0.750 0.873
H 0.250 0.557 0.908
H 0.250 0.943 0.908
H 0.750 0.057 0.092
H 0.750 0.443 0.092
I 0.250 0.750 0.394
I 0.750 0.250 0.606

---

(2)
The following is a PBE calculation of crystalline Ti4BeCo2 at its relaxed geometry, from Alexandria via LeMat-Bulk.

Summary:
- SG = No. 166
- raw total energy (eV/atom) = -7.24
- mass density (kg/m³) = 5312
- DFT formation energy (eV per atom) = -0.171

a b c (Å): 7.046 7.046 7.046
angles (deg): 34.39 34.39 34.39
Fractional coordinates of all 7 atoms:
Ti 0.118 0.118 0.118
Ti 0.369 0.369 0.369
Ti 0.631 0.631 0.631
Ti 0.882 0.882 0.882
Be 0.500 0.500 0.500
Co 0.243 0.243 0.243
Co 0.757 0.757 0.757

---

(3)
The following is a PBE calculation of crystalline Zr2TaPdN at its relaxed geometry, from Alexandria via LeMat-Bulk.

Summary:
- SG = No. 123
- ΔE_f (raw) (eV per atom) = -0.793
- raw total energy (eV/atom) = -9.29
- mass density (kg/m³) = 9537

a b c (Å): 4.521 4.521 4.121
angles (deg): 90.00 90.00 90.00
Fractional coordinates of all 5 atoms:
Zr 0.000 0.500 0.000
Zr 0.500 0.000 0.000
Ta 0.000 0.000 0.500
Pd 0.500 0.500 0.500
N 0.000 0.000 0.000

---

(4)
The following is a PBE calculation of crystalline Ti7TlSn3 at its relaxed geometry, from Alexandria via LeMat-Bulk.

Summary:
- SG = No. 71
- raw total energy (eV/atom) = -6.24
- mass density (kg/m³) = 6599
- DFT formation energy (eV per atom) = 0.091

a b c (Å): 7.139 7.139 7.139
angles (deg): 137.47 106.82 88.49
Fractional coordinates of all 11 atoms:
Ti 0.000 0.000 0.000
Ti 0.088 0.758 0.330
Ti 0.326 0.500 0.826
Ti 0.428 0.758 0.670
Ti 0.572 0.242 0.330
Ti 0.674 0.500 0.174
Ti 0.912 0.242 0.670
Tl 0.000 0.500 0.500
Sn 0.268 0.268 0.000
Sn 0.500 0.000 0.500
Sn 0.732 0.732 0.000

---

(5)
The following is a PBE calculation of crystalline ZrSiRh2 at its relaxed geometry, from Alexandria via LeMat-Bulk.

Summary:
- SG = No. 216
- ΔE_f (raw) (eV per atom) = -0.410
- raw total energy (eV/atom) = -7.58
- mass density (kg/m³) = 8511

a b c (Å): 4.477 4.477 4.477
angles (deg): 60.00 60.00 60.00
Fractional coordinates of all 4 atoms:
Zr 0.000 0.000 0.000
Si 0.750 0.750 0.750
Rh 0.250 0.250 0.250
Rh 0.500 0.500 0.500

---

(6)
The following is a PBE calculation of crystalline KPd4Pb12 at its relaxed geometry, from Alexandria via LeMat-Bulk.

Summary:
- SG = No. 204
- raw total energy (eV/atom) = -3.99
- mass density (kg/m³) = 9970
- DFT formation energy (eV per atom) = -0.087

a b c (Å): 8.611 8.611 8.611
angles (deg): 109.47 109.47 109.47
Fractional coordinates of all 17 atoms:
K 0.000 0.000 0.000
Pd 0.000 0.000 0.500
Pd 0.000 0.500 0.000
Pd 0.500 0.000 0.000
Pd 0.500 0.500 0.500
Pb 0.163 0.341 0.504
Pb 0.163 0.659 0.821
Pb 0.179 0.837 0.341
Pb 0.341 0.179 0.837
Pb 0.341 0.504 0.163
Pb 0.496 0.837 0.659
Pb 0.504 0.163 0.341
Pb 0.659 0.496 0.837
Pb 0.659 0.821 0.163
Pb 0.821 0.163 0.659
Pb 0.837 0.341 0.179
Pb 0.837 0.659 0.496

---

(7)
The following is a PBE calculation of crystalline Ac8La3Pr at its relaxed geometry, from Alexandria via LeMat-Bulk.

Summary:
- SG = No. 71
- raw total energy (eV/atom) = -4.06
- mass density (kg/m³) = 7127
- DFT formation energy (eV per atom) = 0.308

a b c (Å): 9.432 9.432 9.432
angles (deg): 134.17 102.18 95.30
Fractional coordinates of all 12 atoms:
Ac 0.087 0.249 0.838
Ac 0.259 0.242 0.501
Ac 0.259 0.758 0.017
Ac 0.411 0.249 0.162
Ac 0.589 0.751 0.838
Ac 0.741 0.242 0.983
Ac 0.741 0.758 0.499
Ac 0.913 0.751 0.162
La 0.000 0.000 0.000
La 0.266 0.766 0.500
La 0.734 0.234 0.500
Pr 0.500 0.500 0.000

---

(8)
The following is a PBE calculation of crystalline GaTcW3 at its relaxed geometry, from Alexandria via LeMat-Bulk.

Summary:
- SG = No. 221
- raw total energy (eV/atom) = -8.50
- mass density (kg/m³) = 12960
- relative energy among the computed polymorphs (meV/atom) = 34
- DFT formation energy (eV per atom) = 1.946

a b c (Å): 4.517 4.517 4.517
angles (deg): 90.00 90.00 90.00
Fractional coordinates of all 5 atoms:
Ga 0.000 0.000 0.000
Tc 0.500 0.500 0.500
W 0.000 0.000 0.500
W 0.000 0.500 0.000
W 0.500 0.000 0.000